Record 1
The following is a PBE calculation of a geometry-optimized CaTmCdAu structure, from the Alexandria database.

Lattice parameters (Å, degrees): 3.626 3.626 7.589 90.00 90.00 90.00
Fractional coordinates of all 4 atoms:
Ca: 0.000 0.000 0.000
Tm: 0.000 0.000 0.539
Cd: 0.500 0.500 0.280
Au: 0.500 0.500 0.739

Output
Energy   -3.261 eV per atom
Energy of formation from the pure elements   -2.377 eV/f.u.
Size of the total moment   0.0 μB per formula unit
Symmetry   P4mm (99)
E above lowest polymorph   0 meV/atom

Record 2
The following is a PBE calculation of a geometry-optimized CaTm2CdAu4 structure, from the Alexandria database.

Lattice parameters (Å, degrees): 8.632 8.632 8.632 33.48 33.48 33.48
Fractional coordinates of all 8 atoms:
Ca: 0.000 0.000 0.000
Tm: 0.244 0.244 0.244
Tm: 0.756 0.756 0.756
Cd: 0.500 0.500 0.500
Au: 0.123 0.123 0.123
Au: 0.373 0.373 0.373
Au: 0.627 0.627 0.627
Au: 0.877 0.877 0.877

Output
Energy   -3.861 eV per atom
Energy of formation from the pure elements   -5.922 eV/f.u.
Size of the total moment   0.0 μB per formula unit
Symmetry   R-3m (166)

Record 3
The following is a PBE calculation of a geometry-optimized CaTmCdAu structure, from the Alexandria database.

Lattice parameters (Å, degrees): 5.167 5.167 5.167 60.00 60.00 60.00
Fractional coordinates of all 4 atoms:
Ca: 0.000 0.000 0.000
Tm: 0.500 0.500 0.500
Cd: 0.250 0.250 0.250
Au: 0.750 0.750 0.750

Output
Energy   -3.209 eV per atom
Energy of formation from the pure elements   -2.170 eV/f.u.
Size of the total moment   0.0 μB per formula unit
Symmetry   F-43m (216)
E above lowest polymorph   52 meV/atom